#a
Computed, not measured: a geometry-optimized Y2HoRh structure at the GGA-PBE level of DFT.

The space group is P4/mmm (No. 123) and the conventional cell measures 3.511, 3.511 and 8.588 Å, with angles of 90.00, 90.00 and 90.00 degrees. The distinct sites, in fractional coordinates, are Y at (0.000, 0.000, 0.191), Ho at (0.500, 0.500, 0.500) and Rh at (0.500, 0.500, 0.000).

The spin magnetization comes out at 0.00 μB/f.u.

#b
Computed, not measured: a geometry-optimized Y2HoRh structure at the GGA-PBE level of DFT.

The space group is Cmcm (No. 63) and the conventional cell measures 3.802, 11.989 and 9.433 Å, with angles of 90.00, 90.00 and 90.00 degrees. The distinct sites, in fractional coordinates, are Y at (0.000, 0.138, 0.068), Ho at (0.000, 0.422, 0.250) and Rh at (0.000, 0.252, 0.750).

The spin magnetization comes out at 0.00 μB/f.u.

#c
Computed, not measured: a geometry-optimized Y2HoRh structure at the GGA-PBE level of DFT.

The space group is Pnma (No. 62) and the conventional cell measures 7.169, 9.477 and 6.350 Å, with angles of 90.00, 90.00 and 90.00 degrees. The distinct sites, in fractional coordinates, are Y at (0.178, 0.064, 0.174), Ho at (0.037, 0.250, 0.638) and Rh at (0.117, 0.750, 0.954).

The spin magnetization comes out at 0.00 μB/f.u.

Which of them is the most stable? Correct choice: #c.

#a
Computed, not measured: a geometry-optimized Y3HoRh structure at the GGA-PBE level of DFT.

The space group is C2/m (No. 12) and the conventional cell measures 11.754, 8.609 and 8.090 Å, with angles of 90.00, 133.43 and 90.00 degrees. The distinct sites, in fractional coordinates, are Y at (0.051, 0.000, 0.340), Y at (0.246, 0.302, 0.786), Ho at (0.052, 0.500, 0.259) and Rh at (0.248, 0.500, 0.126).

The spin magnetization comes out at 0.70 μB/f.u.

#b
Computed, not measured: a geometry-optimized Y3HoRh structure at the GGA-PBE level of DFT.

The space group is Pm-3m (No. 221) and the conventional cell measures 5.415, 5.415 and 5.415 Å, with angles of 90.00, 90.00 and 90.00 degrees. The distinct sites, in fractional coordinates, are Y at (0.000, 0.000, 0.500), Ho at (0.500, 0.500, 0.500) and Rh at (0.000, 0.000, 0.000).

The spin magnetization comes out at 0.00 μB/f.u.

#c
Computed, not measured: a geometry-optimized Y3HoRh structure at the GGA-PBE level of DFT.

The space group is Cm (No. 8) and the conventional cell measures 12.028, 3.775 and 13.729 Å, with angles of 90.00, 115.50 and 90.00 degrees. The distinct sites, in fractional coordinates, are Y at (0.000, 0.000, 0.000), Y at (0.013, 0.000, 0.364), Y at (0.183, 0.500, 0.239), Y at (0.291, 0.500, 0.519), Y at (0.334, 0.000, 0.761), Y at (0.350, 0.000, 0.123), Ho at (0.057, 0.500, 0.608), Ho at (0.166, 0.500, 0.885), Rh at (0.001, 0.000, 0.735) and Rh at (0.352, 0.000, 0.395).

The spin magnetization comes out at 0.00 μB/f.u.

Which of them is the most stable? Correct choice: #c.

#a
Computed, not measured: a geometry-optimized YHo2Rh structure at the GGA-PBE level of DFT.

The space group is Cmcm (No. 63) and the conventional cell measures 3.829, 11.864 and 9.313 Å, with angles of 90.00, 90.00 and 90.00 degrees. The distinct sites, in fractional coordinates, are Y at (0.000, 0.074, 0.250), Ho at (0.000, 0.361, 0.067) and Rh at (0.000, 0.243, 0.750).

The spin magnetization comes out at 0.00 μB/f.u.

#b
Computed, not measured: a geometry-optimized YHo2Rh structure at the GGA-PBE level of DFT.

The space group is R-3m (No. 166, hexagonal axes) and the conventional cell measures 3.7400, 3.7400 and 28.2726 Å, with angles of 90.00, 90.00 and 120.00 degrees. The distinct sites, in fractional coordinates, are Y at (0.0000, 0.0000, 0.0000), Ho at (0.0000, 0.0000, 0.2264) and Rh at (0.0000, 0.0000, 0.5000).

The spin magnetization comes out at 0.63 μB/f.u.

#c
Computed, not measured: a geometry-optimized YHo2Rh structure at the GGA-PBE level of DFT.

The space group is Pnma (No. 62) and the conventional cell measures 7.169, 9.426 and 6.290 Å, with angles of 90.00, 90.00 and 90.00 degrees. The distinct sites, in fractional coordinates, are Y at (0.034, 0.250, 0.134), Ho at (0.177, 0.063, 0.671) and Rh at (0.116, 0.750, 0.439).

The spin magnetization comes out at 0.00 μB/f.u.

Which of them is the most stable? Correct choice: #c.

#a
Computed, not measured: a geometry-optimized YHo2Rh structure at the GGA-PBE level of DFT.

The space group is P4/mmm (No. 123) and the conventional cell measures 3.495, 3.495 and 8.575 Å, with angles of 90.00, 90.00 and 90.00 degrees. The distinct sites, in fractional coordinates, are Y at (0.000, 0.000, 0.000), Ho at (0.500, 0.500, 0.312) and Rh at (0.000, 0.000, 0.500).

The spin magnetization comes out at 0.01 μB/f.u.

#b
Computed, not measured: a geometry-optimized YHo2Rh structure at the GGA-PBE level of DFT.

The space group is R3m (No. 160, hexagonal axes) and the conventional cell measures 3.8182, 3.8182 and 27.2114 Å, with angles of 90.00, 90.00 and 120.00 degrees. The distinct sites, in fractional coordinates, are Y at (0.0000, 0.0000, 0.0000), Ho at (0.0000, 0.0000, 0.2279), Ho at (0.0000, 0.0000, 0.4419) and Rh at (0.0000, 0.0000, 0.8352).

The spin magnetization comes out at 0.50 μB/f.u.

Which of them is the most stable? Correct choice: #a.

#a
Computed, not measured: a geometry-optimized YHo3Rh2 structure at the GGA-PBE level of DFT.

The space group is Pmc2_1 (No. 26) and the conventional cell measures 4.670, 8.672 and 7.164 Å, with angles of 90.00, 90.00 and 90.00 degrees. The distinct sites, in fractional coordinates, are Y at (0.000, 0.084, 0.000), Ho at (0.000, 0.332, 0.629), Ho at (0.500, 0.170, 0.347), Ho at (0.500, 0.415, 0.975), Rh at (0.000, 0.342, 0.233) and Rh at (0.500, 0.160, 0.743).

The spin magnetization comes out at 0.00 μB/f.u.

#b
Computed, not measured: a geometry-optimized YHo3Rh2 structure at the GGA-PBE level of DFT.

The space group is Ibam (No. 72) and the conventional cell measures 6.685, 13.529 and 7.052 Å, with angles of 90.00, 90.00 and 90.00 degrees. The distinct sites, in fractional coordinates, are Y at (0.000, 0.000, 0.000), Ho at (0.000, 0.232, 0.250), Ho at (0.000, 0.500, 0.250) and Rh at (0.210, 0.361, 0.000).

The spin magnetization comes out at 0.00 μB/f.u.

Which of them is the most stable? Correct choice: #a.

#a
Computed, not measured: a geometry-optimized Ho8Zn2Rh structure at the GGA-PBE level of DFT.

The space group is C2/m (No. 12) and the conventional cell measures 17.359, 5.094 and 6.689 Å, with angles of 90.00, 105.15 and 90.00 degrees. The distinct sites, in fractional coordinates, are Ho at (0.028, 0.000, 0.282), Ho at (0.090, 0.500, 0.938), Ho at (0.158, 0.500, 0.464), Ho at (0.201, 0.000, 0.815), Zn at (0.190, 0.000, 0.229) and Rh at (0.000, 0.500, 0.500).

The spin magnetization comes out at 0.00 μB/f.u.

#b
Computed, not measured: a geometry-optimized Ho8Zn2Rh structure at the GGA-PBE level of DFT.

The space group is Cm (No. 8) and the conventional cell measures 7.483, 15.824 and 6.025 Å, with angles of 90.00, 123.04 and 90.00 degrees. The distinct sites, in fractional coordinates, are Ho at (0.000, 0.000, 0.000), Ho at (0.006, 0.119, 0.526), Ho at (0.231, 0.305, 0.863), Ho at (0.445, 0.000, 0.648), Ho at (0.460, 0.115, 0.179), Zn at (0.231, 0.222, 0.351) and Rh at (0.236, 0.500, 0.169).

The spin magnetization comes out at 0.00 μB/f.u.

Which of them is the most stable? Correct choice: #a.